Entry 1:
# Ba2TlIrAu

A relaxed Ba2TlIrAu crystal (PBE-GGA, Alexandria).

ΔE_f = -0.22 eV/atom
calculated density = 7.60 g/cm³
raw total energy = -19.45 eV for the cell shown

Cell lengths 6.029, 6.029, 5.221 Å; angles 90.00, 90.00, 90.00 degrees
Space group P4/mmm (No. 123)
Unique sites:
Ba  0.000  0.500  0.000 x2
Tl  0.000  0.000  0.500 x1
Ir  0.000  0.000  0.000 x1
Au  0.500  0.500  0.500 x1


Entry 2:
# BaIr2WAu

A relaxed BaIr2WAu crystal (PBE-GGA, Alexandria).

ΔE_f = 2.18 eV/atom
calculated density = 10.78 g/cm³
raw total energy = -24.97 eV for the cell shown

Cell lengths 5.022, 5.022, 5.511 Å; angles 90.00, 90.00, 90.00 degrees
Space group P4/mmm (No. 123)
Unique sites:
Ba  0.000  0.000  0.000 x1
Ir  0.000  0.500  0.500 x2
W  0.500  0.500  0.000 x1
Au  0.000  0.000  0.500 x1


Entry 3:
# Ba2Zn6IrAu

A relaxed Ba2Zn6IrAu crystal (PBE-GGA, Alexandria).

ΔE_f = -0.29 eV/atom
calculated density = 7.14 g/cm³
raw total energy = -53.12 eV for the cell shown

Cell lengths 9.925, 9.950, 7.019 Å; angles 90.00, 134.88, 90.00 degrees
Space group C2/m (No. 12)
Unique sites:
Ba  0.000  0.250  0.000 x4
Zn  0.000  0.246  0.500 x4
Zn  0.245  0.000  0.991 x4
Zn  0.246  0.000  0.499 x4
Ir  0.000  0.000  0.500 x2
Au  0.000  0.500  0.500 x2


Entry 4:
# Ba8ZnIrAu2

A relaxed Ba8ZnIrAu2 crystal (PBE-GGA, Alexandria).

ΔE_f = -0.32 eV/atom
calculated density = 4.97 g/cm³
raw total energy = -35.97 eV for the cell shown

Cell lengths 7.625, 9.769, 7.852 Å; angles 90.00, 90.23, 90.00 degrees
Space group P2/m (No. 10)
Unique sites:
Ba  0.219  0.228  0.172 x4
Ba  0.260  0.000  0.691 x2
Ba  0.277  0.500  0.671 x2
Zn  0.000  0.500  0.000 x1
Ir  0.000  0.000  0.000 x1
Au  0.500  0.246  0.500 x2


Entry 5:
# KBa8Au4

A relaxed KBa8Au4 crystal (PBE-GGA, Alexandria).

ΔE_f = -0.47 eV/atom
calculated density = 4.71 g/cm³
raw total energy = -71.53 eV for the cell shown

Cell lengths 23.289, 4.828, 15.909 Å; angles 90.00, 130.62, 90.00 degrees
Space group Cm (No. 8)
Unique sites:
K  0.000  0.000  0.000 x2
Ba  0.041  0.000  0.736 x2
Ba  0.133  0.500  0.591 x2
Ba  0.168  0.500  0.345 x2
Ba  0.207  0.500  0.069 x2
Ba  0.292  0.000  0.930 x2
Ba  0.331  0.000  0.654 x2
Ba  0.366  0.000  0.408 x2
Ba  0.459  0.500  0.263 x2
Au  0.144  0.000  0.461 x2
Au  0.166  0.500  0.828 x2
Au  0.333  0.000  0.172 x2
Au  0.355  0.500  0.538 x2


Entry 6:
# KBa2Au

A relaxed KBa2Au crystal (PBE-GGA, Alexandria).

excess energy over the best structure of this formula in the dataset = 152 meV per atom
ΔE_f = -0.22 eV/atom
calculated density = 4.10 g/cm³
raw total energy = -18.21 eV for the cell shown

Cell lengths 4.448, 7.098, 13.110 Å; angles 90.00, 90.00, 90.00 degrees
Space group Immm (No. 71)
Unique sites:
K  0.000  0.000  0.000 x2
Ba  0.000  0.500  0.178 x4
Au  0.000  0.000  0.500 x2


Entry 7:
# KBa2Au

A relaxed KBa2Au crystal (PBE-GGA, Alexandria).

excess energy over the best structure of this formula in the dataset = 118 meV per atom
ΔE_f = -0.26 eV/atom
calculated density = 3.84 g/cm³
raw total energy = -18.49 eV for the cell shown

Cell lengths 4.731, 6.645, 14.065 Å; angles 90.00, 90.00, 90.00 degrees
Space group Amm2 (No. 38)
Unique sites:
K  0.000  0.000  0.000 x2
Ba  0.000  0.000  0.319 x2
Ba  0.500  0.000  0.658 x2
Au  0.500  0.000  0.167 x2


Entry 8:
# K2BaAu

A relaxed K2BaAu crystal (PBE-GGA, Alexandria).

excess energy over the best structure of this formula in the dataset = 215 meV per atom
ΔE_f = -0.11 eV/atom
calculated density = 3.26 g/cm³
raw total energy = -31.42 eV for the cell shown

Cell lengths 11.273, 11.273, 6.619 Å; angles 90.00, 90.00, 90.00 degrees
Space group I-42d (No. 122)
Unique sites:
K  0.146  0.750  0.125 x8
Ba  0.000  0.000  0.500 x4
Au  0.000  0.000  0.000 x4


Entry 9:
# K2BaAu

A relaxed K2BaAu crystal (PBE-GGA, Alexandria).

excess energy over the best structure of this formula in the dataset = 98 meV per atom
ΔE_f = -0.23 eV/atom
calculated density = 3.29 g/cm³
raw total energy = -16.65 eV for the cell shown

Cell lengths 4.191, 5.073, 19.554 Å; angles 90.00, 90.00, 90.00 degrees
Space group Immm (No. 71)
Unique sites:
K  0.000  0.000  0.164 x4
Ba  0.000  0.500  0.000 x2
Au  0.000  0.500  0.500 x2


Entry 10:
# KBa2Au

A relaxed KBa2Au crystal (PBE-GGA, Alexandria).

excess energy over the best structure of this formula in the dataset = 313 meV per atom
ΔE_f = -0.06 eV/atom
calculated density = 5.17 g/cm³
raw total energy = -33.84 eV for the cell shown

Cell lengths 8.687, 8.687, 8.687 Å; angles 90.00, 90.00, 90.00 degrees
Space group Fm-3m (No. 225)
Unique sites:
K  0.000  0.000  0.000 x4
Ba  0.250  0.250  0.250 x8
Au  0.000  0.000  0.500 x4


Entry 11:
# KBa2Au

A relaxed KBa2Au crystal (PBE-GGA, Alexandria).

excess energy over the best structure of this formula in the dataset = 181 meV per atom
ΔE_f = -0.19 eV/atom
calculated density = 3.89 g/cm³
raw total energy = -35.96 eV for the cell shown

Cell lengths 10.831, 10.831, 7.428 Å; angles 90.00, 90.00, 90.00 degrees
Space group I-42d (No. 122)
Unique sites:
K  0.000  0.000  0.000 x4
Ba  0.135  0.250  0.625 x8
Au  0.000  0.000  0.500 x4


Entry 12:
# KBa2Au

A relaxed KBa2Au crystal (PBE-GGA, Alexandria).

excess energy over the best structure of this formula in the dataset = 307 meV per atom
ΔE_f = -0.07 eV/atom
calculated density = 4.97 g/cm³
raw total energy = -16.97 eV for the cell shown

Cell lengths 8.325, 8.325, 4.929 Å; angles 90.00, 90.17, 90.00 degrees
Space group C2/m (No. 12)
Unique sites:
K  0.000  0.000  0.000 x2
Ba  0.250  0.250  0.500 x4
Au  0.000  0.500  0.000 x2


Entry 13:
# KBa2Au

A relaxed KBa2Au crystal (PBE-GGA, Alexandria).

excess energy over the best structure of this formula in the dataset = 0 meV per atom
ΔE_f = -0.37 eV/atom
calculated density = 3.74 g/cm³
raw total energy = -29.14 eV for the cell shown

Cell lengths 4.8014, 4.8014, 34.0307 Å; angles 90.00, 90.00, 120.00 degrees
Space group R3m (No. 160, hexagonal axes)
Unique sites:
K  0.0000  0.0000  0.0000 x3
Ba  0.0000  0.0000  0.5512 x3
Ba  0.0000  0.0000  0.7808 x3
Au  0.0000  0.0000  0.1659 x3


Entry 14:
# K2BaAu

A relaxed K2BaAu crystal (PBE-GGA, Alexandria).

excess energy over the best structure of this formula in the dataset = 84 meV per atom
ΔE_f = -0.25 eV/atom
calculated density = 3.43 g/cm³
raw total energy = -8.38 eV for the cell shown

Cell lengths 4.201, 4.201, 11.304 Å; angles 90.00, 90.00, 90.00 degrees
Space group P4mm (No. 99)
Unique sites:
K  0.000  0.000  0.000 x1
K  0.500  0.500  0.331 x1
Ba  0.500  0.500  0.671 x1
Au  0.000  0.000  0.529 x1


Entry 15:
# KBa2Au

A relaxed KBa2Au crystal (PBE-GGA, Alexandria).

excess energy over the best structure of this formula in the dataset = 341 meV per atom
ΔE_f = -0.03 eV/atom
calculated density = 4.92 g/cm³
raw total energy = -16.69 eV for the cell shown

Cell lengths 5.123, 5.123, 13.141 Å; angles 90.00, 90.00, 90.00 degrees
Space group I-4m2 (No. 119)
Unique sites:
K  0.000  0.000  0.000 x2
Ba  0.000  0.000  0.500 x2
Ba  0.000  0.500  0.250 x2
Au  0.000  0.500  0.750 x2


Entry 16:
# KBa3Au4

A relaxed KBa3Au4 crystal (PBE-GGA, Alexandria).

ΔE_f = -0.60 eV/atom
calculated density = 7.90 g/cm³
raw total energy = -74.26 eV for the cell shown

Cell lengths 5.6886, 5.6886, 27.8736 Å; angles 90.00, 90.00, 120.00 degrees
Space group R-3m (No. 166, hexagonal axes)
Unique sites:
K  0.0000  0.0000  0.0000 x3
Ba  0.0000  0.0000  0.2534 x6
Ba  0.0000  0.0000  0.5000 x3
Au  0.0000  0.0000  0.1295 x6
Au  0.0000  0.0000  0.3787 x6


Entry 17:
# KBa2Au

A relaxed KBa2Au crystal (PBE-GGA, Alexandria).

excess energy over the best structure of this formula in the dataset = 140 meV per atom
ΔE_f = -0.23 eV/atom
calculated density = 4.32 g/cm³
raw total energy = -9.15 eV for the cell shown

Cell lengths 4.231, 4.231, 10.970 Å; angles 90.00, 90.00, 90.00 degrees
Space group P4mm (No. 99)
Unique sites:
K  0.000  0.000  0.000 x1
Ba  0.000  0.000  0.348 x1
Ba  0.500  0.500  0.665 x1
Au  0.500  0.500  0.207 x1


Entry 18:
# K2BaAu4

A relaxed K2BaAu4 crystal (PBE-GGA, Alexandria).

ΔE_f = -0.47 eV/atom
calculated density = 6.69 g/cm³
raw total energy = -61.59 eV for the cell shown

Cell lengths 4.8649, 4.8649, 36.4655 Å; angles 90.00, 90.00, 120.00 degrees
Space group R-3m (No. 166, hexagonal axes)
Unique sites:
K  0.0000  0.0000  0.1129 x6
Ba  0.0000  0.0000  0.0000 x3
Au  0.0000  0.0000  0.2757 x6
Au  0.0000  0.0000  0.3909 x6


Entry 19:
# KBa4Au

A relaxed KBa4Au crystal (PBE-GGA, Alexandria).

excess energy over the best structure of this formula in the dataset = 0 meV per atom
ΔE_f = -0.20 eV/atom
calculated density = 3.63 g/cm³
raw total energy = -53.11 eV for the cell shown

Cell lengths 6.795, 23.116, 9.147 Å; angles 90.00, 90.00, 90.00 degrees
Space group Cmcm (No. 63)
Unique sites:
K  0.000  0.107  0.250 x4
Ba  0.000  0.109  0.750 x4
Ba  0.000  0.303  0.502 x8
Ba  0.000  0.500  0.000 x4
Au  0.000  0.400  0.250 x4


Entry 20:
# K2BaAu

A relaxed K2BaAu crystal (PBE-GGA, Alexandria).

excess energy over the best structure of this formula in the dataset = 74 meV per atom
ΔE_f = -0.26 eV/atom
calculated density = 3.08 g/cm³
raw total energy = -16.84 eV for the cell shown

Cell lengths 8.223, 4.713, 11.734 Å; angles 90.00, 102.25, 90.00 degrees
Space group Cm (No. 8)
Unique sites:
K  0.000  0.000  0.000 x2
K  0.216  0.000  0.664 x2
Ba  0.282  0.500  0.340 x2
Au  0.495  0.000  0.490 x2


Entry 21:
# KBa6Au3

A relaxed KBa6Au3 crystal (PBE-GGA, Alexandria).

ΔE_f = -0.43 eV/atom
calculated density = 4.69 g/cm³
raw total energy = -53.61 eV for the cell shown

Cell lengths 14.683, 4.807, 14.890 Å; angles 90.00, 101.76, 90.00 degrees
Space group P2_1/m (No. 11)
Unique sites:
K  0.035  0.250  0.141 x2
Ba  0.067  0.750  0.406 x2
Ba  0.199  0.750  0.694 x2
Ba  0.239  0.250  0.968 x2
Ba  0.329  0.750  0.258 x2
Ba  0.384  0.250  0.541 x2
Ba  0.477  0.750  0.865 x2
Au  0.150  0.250  0.548 x2
Au  0.377  0.750  0.050 x2
Au  0.477  0.250  0.349 x2


Entry 22:
# K12Ba3Au5

A relaxed K12Ba3Au5 crystal (PBE-GGA, Alexandria).

ΔE_f = 0.09 eV/atom
calculated density = 2.42 g/cm³
raw total energy = -268.58 eV for the cell shown

Cell lengths 21.725, 21.725, 21.725 Å; angles 90.00, 90.00, 90.00 degrees
Space group Ia-3d (No. 230)
Unique sites:
K  0.049  0.135  0.950 x96
Ba  0.000  0.250  0.125 x24
Au  0.000  0.000  0.000 x16
Au  0.000  0.250  0.375 x24